Computed, not measured: LiH after structural relaxation at the PBE-GGA level of DFT.

abc: 5.069 5.069 3.096
angles: 90.00 90.00 90.00
Sites, in units of the cell vectors:
1 Li 0.183 0.183 0.000
2 Li 0.317 0.683 0.500
3 Li 0.683 0.317 0.500
4 Li 0.817 0.817 0.000
5 H 0.184 0.816 0.000
6 H 0.316 0.316 0.500
7 H 0.684 0.684 0.500
8 H 0.816 0.184 0.000

Calculated values
Space-group type: No. 136
Magnetic moment (μB per formula unit): 0.00

***

Computed, not measured: LiH2 after structural relaxation at the PBE-GGA level of DFT.

abc: 2.933 2.933 2.933
angles: 115.23 106.95 106.39
Sites, in units of the cell vectors:
1 Li 0.000 0.000 0.000
2 H 0.500 0.255 0.755
3 H 0.500 0.745 0.245

Calculated values
Space-group type: No. 71
Magnetic moment (μB per formula unit): 0.00

***

Computed, not measured: LiH2 after structural relaxation at the PBE-GGA level of DFT.

abc: 2.695 2.915 3.185
angles: 113.04 113.98 94.21
Sites, in units of the cell vectors:
1 Li 0.000 0.000 0.000
2 H 0.259 0.731 0.537
3 H 0.367 0.389 0.733

Calculated values
Space-group type: No. 1
Magnetic moment (μB per formula unit): 0.00

***

Computed, not measured: Li2H after structural relaxation at the PBE-GGA level of DFT.

abc: 5.742 5.742 4.914
angles: 90.00 90.00 154.42
Sites, in units of the cell vectors:
1 Li 0.051 0.949 0.500
2 Li 0.186 0.814 0.073
3 Li 0.814 0.186 0.573
4 Li 0.949 0.051 0.000
5 H 0.436 0.564 0.688
6 H 0.564 0.436 0.188

Calculated values
Space-group type: No. 36
Magnetic moment (μB per formula unit): 0.00

***

Which DFT total energy belongs to each record? In order, -24.13; -8.16; -8.07; -15.57 eV per cell.
Which V belongs to each record? In order, 9.945; 6.427; 6.737; 11.659 Å³/atom.
Which offset from the most stable computed form belongs to each record? In order, 3.9; 0.0; 2.9; 3.7 kJ/mol of atoms.